1.
The following is a DFT calculation (PBE-GGA) of an optimized crystal structure of Ba8BiSb3I4.

Calculated values
E_form (uncorrected), eV per formula unit: -22.03
Raw total energy, eV/atom: -3.74
Total moment, μB per formula unit: 0.00

a = 10.2026 Å, b = 10.2026 Å, c = 25.2186 Å
α = 90.00°, β = 90.00°, γ = 120.00°
Space group R-3m (No. 166, hexagonal axes)
Unique sites:
Ba 0.0000 0.0000 0.2386 x6
Ba 0.0033 0.5016 0.7607 x18
Bi 0.0000 0.0000 0.5000 x3
Sb 0.0000 0.5000 0.5000 x9
I 0.0000 0.0000 0.0000 x3
I 0.0000 0.5000 0.0000 x9

2.
The following is a DFT calculation (PBE-GGA) of an optimized crystal structure of PRhSe2Br.

Calculated values
E_form (uncorrected), eV per formula unit: 3.41
Raw total energy, eV/atom: -3.60
Total moment, μB per formula unit: 0.00

a = 4.8723 Å, b = 4.8723 Å, c = 4.9156 Å
α = 90.00°, β = 90.00°, γ = 90.00°
Space group P4/mmm (No. 123)
Unique sites:
P 0.0000 0.0000 0.0000 x1
Rh 0.5000 0.5000 0.5000 x1
Se 0.0000 0.5000 0.5000 x2
Br 0.5000 0.5000 0.0000 x1

3.
The following is a DFT calculation (PBE-GGA) of an optimized crystal structure of TlHg2H.

Calculated values
Raw total energy, eV/atom: -1.30
Total moment, μB per formula unit: 0.00

a = 7.0694 Å, b = 7.0694 Å, c = 7.1052 Å
α = 90.00°, β = 90.00°, γ = 90.00°
Space group I-42d (No. 122)
Unique sites:
Tl 0.0000 0.0000 0.0000 x4
Hg 0.1437 0.2500 0.6250 x8
H 0.0000 0.0000 0.5000 x4

4.
The following is a DFT calculation (PBE-GGA) of an optimized crystal structure of TeHAuI2.

Calculated values
Raw total energy, eV/atom: -1.89
Total moment, μB per formula unit: 2.69

a = 5.7671 Å, b = 5.7671 Å, c = 5.4922 Å
α = 90.00°, β = 90.00°, γ = 90.00°
Space group P4/mmm (No. 123)
Unique sites:
Te 0.0000 0.0000 0.0000 x1
H 0.5000 0.5000 0.0000 x1
Au 0.0000 0.0000 0.5000 x1
I 0.0000 0.5000 0.5000 x2

5.
The following is a DFT calculation (PBE-GGA) of an optimized crystal structure of Cu2SiTc.

Calculated values
E_form (uncorrected), eV per formula unit: -0.10
Raw total energy, eV/atom: -6.02
Total moment, μB per formula unit: 0.00

a = 5.8721 Å, b = 5.8721 Å, c = 5.8721 Å
α = 90.00°, β = 90.00°, γ = 90.00°
Space group F-43m (No. 216)
Unique sites:
Cu 0.0000 0.0000 0.0000 x4
Cu 0.2500 0.2500 0.2500 x4
Si 0.2500 0.2500 0.7500 x4
Tc 0.0000 0.0000 0.5000 x4

6.
The following is a DFT calculation (PBE-GGA) of an optimized crystal structure of Sr2Bi2O5.

Calculated values
E_form (uncorrected), eV per formula unit: -16.94
Raw total energy, eV/atom: -5.87
Total moment, μB per formula unit: 0.00

a = 15.9921 Å, b = 6.3319 Å, c = 6.5137 Å
α = 90.00°, β = 90.00°, γ = 90.00°
Space group Ima2 (No. 46)
Unique sites:
Sr 0.1182 0.0100 0.0000 x8
Bi 0.0000 0.0000 0.4664 x4
Bi 0.2500 0.5047 0.0359 x4
O 0.0415 0.2235 0.7135 x8
O 0.1446 0.6329 0.8665 x8
O 0.2500 0.1908 0.9210 x4

7.
The following is a DFT calculation (PBE-GGA) of an optimized crystal structure of SmMg2Au.

Calculated values
Raw total energy, eV/atom: -3.29
Formation energy, kJ per mole of atoms: -48.0
Total moment, μB per formula unit: 0.00

a = 16.3562 Å, b = 8.1763 Å, c = 5.6878 Å
α = 90.00°, β = 90.00°, γ = 90.00°
Space group Pnma (No. 62)
Unique sites:
Sm 0.1057 0.2500 0.2472 x4
Sm 0.1377 0.7500 0.0534 x4
Mg 0.0375 0.0546 0.7490 x8
Mg 0.2141 0.5549 0.5456 x8
Au 0.0682 0.7500 0.5456 x4
Au 0.1833 0.2500 0.7490 x4

8.
The following is a DFT calculation (PBE-GGA) of an optimized crystal structure of Tl12Cd3Sb.

Calculated values
E_form (uncorrected), eV per formula unit: 0.53
Raw total energy, eV/atom: -2.17
Total moment, μB per formula unit: 0.00

a = 4.8831 Å, b = 4.8831 Å, c = 19.8931 Å
α = 90.00°, β = 90.00°, γ = 90.00°
Space group P4/mmm (No. 123)
Unique sites:
Tl 0.0000 0.0000 0.0000 x1
Tl 0.0000 0.0000 0.2490 x2
Tl 0.0000 0.0000 0.5000 x1
Tl 0.0000 0.5000 0.1228 x4
Tl 0.0000 0.5000 0.3765 x4
Cd 0.5000 0.5000 0.0000 x1
Cd 0.5000 0.5000 0.2431 x2
Sb 0.5000 0.5000 0.5000 x1